(1)
A relaxed Rb2YMnS4 crystal, computed with PBE.

ρ: 3.5 Mg/m³
ΔE_f (raw): -1.182 eV/atom
Crystal system: monoclinic

Cell lengths 8.1455, 8.1455, 8.3726 Å; angles 117.58, 117.58, 89.65 degrees
With the nearest neighbours (Å) after each atom.
Positions (direct):
Rb 0.0000 0.0000 0.0000  4 S 3.09
Rb 0.0000 0.0000 0.5000  4 S 3.09
Rb 0.0000 0.5000 0.0000  6 S 3.16-3.39
Rb 0.5000 0.0000 0.5000  6 S 3.16-3.39
Y 0.5000 0.5000 0.0000  6 S 2.74-2.86
Y 0.5000 0.5000 0.5000  6 S 2.74-2.86
Mn 0.0000 0.5000 0.5000  4 S 2.40-2.48
Mn 0.5000 0.0000 0.0000  4 S 2.40-2.48
S 0.2199 0.6886 0.4937  1 Mn 2.40
S 0.2513 0.3250 0.5533  1 Mn 2.48
S 0.3114 0.7801 0.0063  1 Mn 2.40
S 0.3250 0.2513 0.0533  1 Mn 2.48
S 0.6750 0.7487 0.9467  1 Mn 2.48
S 0.6886 0.2199 0.9937  1 Mn 2.40
S 0.7487 0.6750 0.4467  1 Mn 2.48
S 0.7801 0.3114 0.5063  1 Mn 2.40

---

(2)
A relaxed Rb4Y3MnS8 crystal, computed with PBE.

ρ: 3.6 Mg/m³
ΔE_f (raw): -1.540 eV/atom
Crystal system: trigonal

Cell lengths 8.9490, 8.9490, 8.9490 Å; angles 53.19, 53.19, 53.19 degrees
With the nearest neighbours (Å) after each atom.
Positions (direct):
Rb 0.0000 0.0000 0.0000  6 S 3.43
Rb 0.0000 0.5000 0.5000  6 S 3.29-3.30
Rb 0.5000 0.0000 0.5000  6 S 3.29-3.30
Rb 0.5000 0.5000 0.0000  6 S 3.29-3.30
Y 0.0000 0.0000 0.5000  6 S 2.75-2.77
Y 0.0000 0.5000 0.0000  6 S 2.75-2.77
Y 0.5000 0.0000 0.0000  6 S 2.75-2.77
Mn 0.5000 0.5000 0.5000  6 S 2.61
S 0.2317 0.2317 0.2317  3 Y 2.75
S 0.2465 0.7193 0.7193  1 Mn 2.61, 2 Y 2.77
S 0.2807 0.2807 0.7535  1 Mn 2.61, 2 Y 2.77
S 0.2807 0.7535 0.2807  1 Mn 2.61, 2 Y 2.77
S 0.7193 0.2465 0.7193  1 Mn 2.61, 2 Y 2.77
S 0.7193 0.7193 0.2465  1 Mn 2.61, 2 Y 2.77
S 0.7535 0.2807 0.2807  1 Mn 2.61, 2 Y 2.77
S 0.7683 0.7683 0.7683  3 Y 2.75

---

(3)
A relaxed RbZrMnS4 crystal, computed with PBE.

ρ: 3.4 Mg/m³
ΔE_f (raw): -1.077 eV/atom
Crystal system: monoclinic

Cell lengths 6.2660, 6.4396, 9.1484 Å; angles 90.00, 108.84, 90.00 degrees
With the nearest neighbours (Å) after each atom.
Positions (direct):
Rb 0.2148 0.2500 0.4515  6 S 3.20-3.57
Rb 0.7852 0.7500 0.5485  6 S 3.20-3.57
Zr 0.3270 0.7500 0.0520  6 S 2.57-2.70
Zr 0.6730 0.2500 0.9480  6 S 2.57-2.70
Mn 0.1125 0.2500 0.8458  4 S 2.21-2.26
Mn 0.8875 0.7500 0.1542  4 S 2.21-2.26
S 0.1012 0.2500 0.0844  1 Mn 2.21
S 0.2466 0.7500 0.3117  1 Mn 2.25
S 0.3414 0.5061 0.8157  1 Mn 2.26
S 0.3414 0.9939 0.8157  1 Mn 2.26
S 0.6586 0.0061 0.1843  1 Mn 2.26
S 0.6586 0.4939 0.1843  1 Mn 2.26
S 0.7534 0.2500 0.6883  1 Mn 2.25
S 0.8988 0.7500 0.9156  1 Mn 2.21

---

(4)
A relaxed RbZrMnS3 crystal, computed with PBE.

ρ: 3.7 Mg/m³
ΔE_f (raw): -1.227 eV/atom
Crystal system: monoclinic

Cell lengths 8.8765, 3.8279, 9.4960 Å; angles 90.00, 113.19, 90.00 degrees
With the nearest neighbours (Å) after each atom.
Positions (direct):
Rb 0.2190 0.2500 0.2480  7 S 3.33-3.49
Rb 0.7810 0.7500 0.7520  7 S 3.33-3.49
Zr 0.3280 0.7500 0.8508  6 S 2.62-2.64
Zr 0.6720 0.2500 0.1492  6 S 2.62-2.64
Mn 0.0845 0.2500 0.6131  4 S 2.31-2.42
Mn 0.9155 0.7500 0.3869  4 S 2.31-2.42
S 0.1325 0.2500 0.8702  1 Mn 2.31
S 0.2051 0.7500 0.5505  3 Mn 2.38-2.42, 1 Zr 2.62
S 0.4696 0.7500 0.1513  3 Zr 2.63
S 0.5304 0.2500 0.8487  3 Zr 2.63
S 0.7949 0.2500 0.4495  3 Mn 2.38-2.42, 1 Zr 2.62
S 0.8675 0.7500 0.1298  1 Mn 2.31

---

(5)
A relaxed RbMn3Sb crystal, computed with PBE.

ρ: 4.8 Mg/m³
ΔE_f (raw): 2.122 eV/atom
ΔE to the lowest computed polymorph: 27.09 kcal/mol of atoms
Crystal system: cubic

Cell lengths 5.0346, 5.0346, 5.0346 Å; angles 90.00, 90.00, 90.00 degrees
With the nearest neighbours (Å) after each atom.
Positions (direct):
Rb 0.0000 0.0000 0.0000  6 Mn 2.52
Mn 0.0000 0.0000 0.5000  2 Rb 2.52
Mn 0.0000 0.5000 0.0000  2 Rb 2.52
Mn 0.5000 0.0000 0.0000  2 Rb 2.52
Sb 0.5000 0.5000 0.5000  12 Mn 3.56

---

(6)
A relaxed RbMnSb2 crystal, computed with PBE.

ρ: 5.2 Mg/m³
ΔE_f (raw): -0.137 eV/atom
ΔE to the lowest computed polymorph: 0.00 kcal/mol of atoms
Crystal system: trigonal

Cell lengths 8.2697, 8.2697, 8.2697 Å; angles 29.80, 29.80, 29.80 degrees
With the nearest neighbours (Å) after each atom.
Positions (direct):
Rb 0.0000 0.0000 0.0000  6 Sb 3.70
Mn 0.5000 0.5000 0.5000  6 Sb 2.73
Sb 0.2166 0.2166 0.2166  3 Mn 2.73
Sb 0.7834 0.7834 0.7834  3 Mn 2.73

---

(7)
A relaxed RbMnSb3 crystal, computed with PBE.

ρ: 6.0 Mg/m³
ΔE_f (raw): 0.263 eV/atom
ΔE to the lowest computed polymorph: 0.00 kcal/mol of atoms
Crystal system: cubic

Cell lengths 5.1975, 5.1975, 5.1975 Å; angles 90.00, 90.00, 90.00 degrees
With the nearest neighbours (Å) after each atom.
Positions (direct):
Rb 0.0000 0.0000 0.0000  12 Sb 3.68
Mn 0.5000 0.5000 0.5000  6 Sb 2.60
Sb 0.0000 0.5000 0.5000  2 Mn 2.60
Sb 0.5000 0.0000 0.5000  2 Mn 2.60
Sb 0.5000 0.5000 0.0000  2 Mn 2.60

---

(8)
A relaxed RbMn3Sb crystal, computed with PBE.

ρ: 4.4 Mg/m³
ΔE_f (raw): 0.947 eV/atom
ΔE to the lowest computed polymorph: 0.00 kcal/mol of atoms
Crystal system: cubic

Cell lengths 5.2136, 5.2136, 5.2136 Å; angles 90.00, 90.00, 90.00 degrees
With the nearest neighbours (Å) after each atom.
Positions (direct):
Rb 0.0000 0.0000 0.0000  12 Mn 3.69
Mn 0.0000 0.5000 0.5000  2 Sb 2.61
Mn 0.5000 0.0000 0.5000  2 Sb 2.61
Mn 0.5000 0.5000 0.0000  2 Sb 2.61
Sb 0.5000 0.5000 0.5000  6 Mn 2.61